Record 1
# MgSnSe2F (PBE, optimized geometry)
data_MgSnSe2F
_chemical_formula_sum 'Mg1 Sn1 Se2 F1'
_cell_length_a 5.360
_cell_length_b 5.360
_cell_length_c 3.714
_cell_angle_alpha 90.00
_cell_angle_beta 90.00
_cell_angle_gamma 90.00
_symmetry_space_group_name_H-M 'P 4/m m m'
_symmetry_Int_Tables_number 123
_symmetry_space_group_name_Hall '-P 4 2'
loop_
_atom_site_label
_atom_site_fract_x
_atom_site_fract_y
_atom_site_fract_z
_atom_site_occupancy
Mg1 0.000 0.000 0.000 1
Sn1 0.500 0.500 0.500 1
Se1 0.000 0.500 0.000 1
F1 0.000 0.000 0.500 1
# ΔE_f (raw) = -1.16 eV per atom

---

Record 2
# LaNi4Rh (PBE, optimized geometry)
data_LaNi4Rh
_chemical_formula_sum 'La2 Ni8 Rh2'
_cell_length_a 4.952
_cell_length_b 9.067
_cell_length_c 4.003
_cell_angle_alpha 90.00
_cell_angle_beta 90.00
_cell_angle_gamma 90.00
_symmetry_space_group_name_H-M 'C m m m'
_symmetry_Int_Tables_number 65
_symmetry_space_group_name_Hall '-C 2 2'
loop_
_atom_site_label
_atom_site_fract_x
_atom_site_fract_y
_atom_site_fract_z
_atom_site_occupancy
La1 0.000 0.000 0.000 1
Ni1 0.000 0.322 0.000 1
Ni2 0.250 0.250 0.500 1
Rh1 0.000 0.500 0.500 1
# Energy of formation = -0.320 eV/atom

---

Record 3
# Pa4Sb2N (PBE, optimized geometry)
data_Pa4Sb2N
_chemical_formula_sum 'Pa8 Sb4 N2'
_cell_length_a 4.629
_cell_length_b 4.629
_cell_length_c 15.906
_cell_angle_alpha 90.00
_cell_angle_beta 90.00
_cell_angle_gamma 90.00
_symmetry_space_group_name_H-M 'I 4/m m m'
_symmetry_Int_Tables_number 139
_symmetry_space_group_name_Hall '-I 4 2'
loop_
_atom_site_label
_atom_site_fract_x
_atom_site_fract_y
_atom_site_fract_z
_atom_site_occupancy
Pa1 0.000 0.000 0.155 1
Pa2 0.000 0.500 0.000 1
Sb1 0.000 0.000 0.353 1
N1 0.000 0.000 0.000 1
# ΔE_f (raw) = -0.68 eV per atom

---

Record 4
# UNi2Os (PBE, optimized geometry)
data_UNi2Os
_chemical_formula_sum 'U4 Ni8 Os4'
_cell_length_a 6.195
_cell_length_b 6.195
_cell_length_c 6.195
_cell_angle_alpha 90.00
_cell_angle_beta 90.00
_cell_angle_gamma 90.00
_symmetry_space_group_name_H-M 'F m -3 m'
_symmetry_Int_Tables_number 225
_symmetry_space_group_name_Hall '-F 4 2 3'
loop_
_atom_site_label
_atom_site_fract_x
_atom_site_fract_y
_atom_site_fract_z
_atom_site_occupancy
U1 0.000 0.000 0.000 1
Ni1 0.250 0.250 0.250 1
Os1 0.000 0.000 0.500 1
# Energy of formation = 0.003 eV/atom

---

| no. | calculated total energy (eV/atom) |
| --- | --- |
| 1 | -4.053 |
| 2 | -6.221 |
| 3 | -8.476 |
| 4 | -8.517 |